Record 1
Here is a geometry-optimized La2PrZn structure from Alexandria. Energies are from PBE-GGA.

The space group is Fm-3m (No. 225) and the conventional cell measures 7.898, 7.898 and 7.898 Å, with angles of 90.00, 90.00 and 90.00 degrees. The asymmetric unit holds La at (0.250, 0.250, 0.250), Pr at (0.000, 0.000, 0.000) and Zn at (0.000, 0.000, 0.500).

Its energy above the most stable polymorph in this dataset is 18.30 kJ/mol of atoms. The volume comes out at 493 Å³/cell. The density is 6.53 g/cm3. The value obtained for the total energy is -3.939 eV per atom.

Record 2
Here is a geometry-optimized LaPr4Zn5 structure from Alexandria. Energies are from PBE-GGA.

The space group is P4/mmm (No. 123) and the conventional cell measures 3.729, 3.729 and 18.595 Å, with angles of 90.00, 90.00 and 90.00 degrees. The asymmetric unit holds La at (0.000, 0.000, 0.000), Pr at (0.000, 0.000, 0.201), Pr at (0.000, 0.000, 0.400), Zn at (0.500, 0.500, 0.103), Zn at (0.500, 0.500, 0.301) and Zn at (0.500, 0.500, 0.500).

The volume comes out at 259 Å³/cell. The density is 6.61 g/cm3. The value obtained for the total energy is -3.341 eV per atom.

Record 3
Here is a geometry-optimized LaPr2Zn3 structure from Alexandria. Energies are from PBE-GGA.

The space group is P4/mmm (No. 123) and the conventional cell measures 3.733, 3.733 and 11.192 Å, with angles of 90.00, 90.00 and 90.00 degrees. The asymmetric unit holds La at (0.000, 0.000, 0.000), Pr at (0.000, 0.000, 0.335), Zn at (0.500, 0.500, 0.170) and Zn at (0.500, 0.500, 0.500).

Its energy above the most stable polymorph in this dataset is 0.64 kJ/mol of atoms. The volume comes out at 156 Å³/cell. The density is 6.57 g/cm3. The value obtained for the total energy is -3.350 eV per atom.

Record 4
Here is a geometry-optimized LaPrZn2 structure from Alexandria. Energies are from PBE-GGA.

The space group is Cmcm (No. 63) and the conventional cell measures 7.467, 10.578 and 5.286 Å, with angles of 90.00, 90.00 and 90.00 degrees. The asymmetric unit holds La at (0.000, 0.124, 0.250), Pr at (0.000, 0.376, 0.750) and Zn at (0.247, 0.373, 0.250).

Its energy above the most stable polymorph in this dataset is 0.10 kJ/mol of atoms. The volume comes out at 418 Å³/cell. The density is 6.53 g/cm3. The value obtained for the total energy is -3.371 eV per atom.

Record 5
Here is a geometry-optimized La2PrZn5 structure from Alexandria. Energies are from PBE-GGA.

The space group is I4/mmm (No. 139) and the conventional cell measures 4.991, 4.991 and 14.980 Å, with angles of 90.00, 90.00 and 90.00 degrees. The asymmetric unit holds La at (0.000, 0.000, 0.229), Pr at (0.000, 0.000, 0.500), Zn at (0.000, 0.000, 0.000) and Zn at (0.000, 0.500, 0.111).

The volume comes out at 373 Å³/cell. The density is 6.64 g/cm3. The value obtained for the total energy is -2.902 eV per atom.

Record 6
Here is a geometry-optimized La2Pr2Zn structure from Alexandria. Energies are from PBE-GGA.

The space group is C2/m (No. 12) and the conventional cell measures 8.616, 9.704 and 8.392 Å, with angles of 90.00, 114.40 and 90.00 degrees. The asymmetric unit holds La at (0.163, 0.000, 0.412), La at (0.223, 0.500, 0.126), Pr at (0.081, 0.308, 0.735) and Zn at (0.000, 0.141, 0.000).

Its energy above the most stable polymorph in this dataset is 6.78 kJ/mol of atoms. The volume comes out at 639 Å³/cell. The density is 6.50 g/cm3. The value obtained for the total energy is -4.187 eV per atom.

Record 7
Here is a geometry-optimized La5PrZn3 structure from Alexandria. Energies are from PBE-GGA.

The space group is P6_3/mcm (No. 193) and the conventional cell measures 9.2188, 9.2188 and 7.1743 Å, with angles of 90.00, 90.00 and 120.00 degrees. The asymmetric unit holds La at (0.0000, 0.3344, 0.2500), La at (0.3333, 0.6667, 0.0000), Pr at (0.0000, 0.0000, 0.0000) and Zn at (0.0000, 0.3310, 0.7500).

The volume comes out at 528 Å³/cell. The density is 6.49 g/cm3. The value obtained for the total energy is -3.834 eV per atom.

Record 8
Here is a geometry-optimized LaPr7Zn4 structure from Alexandria. Energies are from PBE-GGA.

The space group is C2/m (No. 12) and the conventional cell measures 14.299, 5.796 and 10.130 Å, with angles of 90.00, 123.05 and 90.00 degrees. The asymmetric unit holds La at (0.000, 0.000, 0.000), Pr at (0.000, 0.500, 0.000), Pr at (0.068, 0.000, 0.401), Pr at (0.204, 0.000, 0.878), Pr at (0.219, 0.500, 0.666), Zn at (0.040, 0.500, 0.736) and Zn at (0.179, 0.500, 0.338).

The volume comes out at 704 Å³/cell. The density is 6.55 g/cm3. The value obtained for the total energy is -3.647 eV per atom.

Record 9
Here is a geometry-optimized La2Pr2Zn3 structure from Alexandria. Energies are from PBE-GGA.

The space group is P-1 (No. 2) and the conventional cell measures 5.209, 5.216 and 8.984 Å, with angles of 73.21, 73.24 and 60.13 degrees. The asymmetric unit holds La at (0.128, 0.131, 0.114), Pr at (0.378, 0.379, 0.364), Zn at (0.000, 0.000, 0.500) and Zn at (0.255, 0.253, 0.738).

The volume comes out at 200 Å³/cell. The density is 6.29 g/cm3. The value obtained for the total energy is -3.503 eV per atom.

Record 10
Here is a geometry-optimized LaPr2Zn structure from Alexandria. Energies are from PBE-GGA.

The space group is P4/mmm (No. 123) and the conventional cell measures 4.931, 4.931 and 4.962 Å, with angles of 90.00, 90.00 and 90.00 degrees. The asymmetric unit holds La at (0.000, 0.000, 0.000), Pr at (0.000, 0.500, 0.500) and Zn at (0.500, 0.500, 0.000).

Its energy above the most stable polymorph in this dataset is 9.85 kJ/mol of atoms. The volume comes out at 121 Å³/cell. The density is 6.69 g/cm3. The value obtained for the total energy is -3.986 eV per atom.

Record 11
Here is a geometry-optimized La2Pr8Zn structure from Alexandria. Energies are from PBE-GGA.

The space group is C2/m (No. 12) and the conventional cell measures 18.329, 5.768 and 7.568 Å, with angles of 90.00, 108.32 and 90.00 degrees. The asymmetric unit holds La at (0.183, 0.000, 0.170), Pr at (0.014, 0.000, 0.279), Pr at (0.100, 0.500, 0.924), Pr at (0.156, 0.500, 0.443), Pr at (0.185, 0.000, 0.733) and Zn at (0.000, 0.500, 0.500).

Its energy above the most stable polymorph in this dataset is 5.23 kJ/mol of atoms. The volume comes out at 760 Å³/cell. The density is 6.43 g/cm3. The value obtained for the total energy is -4.444 eV per atom.

Record 12
Here is a geometry-optimized LaPr3Zn structure from Alexandria. Energies are from PBE-GGA.

The space group is C2/m (No. 12) and the conventional cell measures 12.253, 9.223 and 8.025 Å, with angles of 90.00, 130.50 and 90.00 degrees. The asymmetric unit holds La at (0.057, 0.000, 0.326), Pr at (0.061, 0.500, 0.270), Pr at (0.234, 0.308, 0.765) and Zn at (0.248, 0.500, 0.120).

Its energy above the most stable polymorph in this dataset is 14.72 kJ/mol of atoms. The volume comes out at 690 Å³/cell. The density is 6.04 g/cm3. The value obtained for the total energy is -4.066 eV per atom.

Record 13
Here is a geometry-optimized LaPrZn structure from Alexandria. Energies are from PBE-GGA.

The space group is I4mm (No. 107) and the conventional cell measures 3.788, 3.788 and 12.473 Å, with angles of 90.00, 90.00 and 90.00 degrees. The asymmetric unit holds La at (0.000, 0.000, 0.000), Pr at (0.000, 0.000, 0.287) and Zn at (0.000, 0.000, 0.648).

Its energy above the most stable polymorph in this dataset is 0.00 kJ/mol of atoms. The volume comes out at 179 Å³/cell. The density is 6.41 g/cm3. The value obtained for the total energy is -3.857 eV per atom.

Record 14
Here is a geometry-optimized La3Pr2Zn2 structure from Alexandria. Energies are from PBE-GGA.

The space group is Cmmm (No. 65) and the conventional cell measures 3.787, 30.878 and 3.723 Å, with angles of 90.00, 90.00 and 90.00 degrees. The asymmetric unit holds La at (0.000, 0.000, 0.000), La at (0.000, 0.414, 0.500), Pr at (0.000, 0.299, 0.500) and Zn at (0.000, 0.145, 0.000).

Its energy above the most stable polymorph in this dataset is 1.52 kJ/mol of atoms. The volume comes out at 435 Å³/cell. The density is 6.33 g/cm3. The value obtained for the total energy is -3.961 eV per atom.

Record 15
Here is a geometry-optimized La4PrZn5 structure from Alexandria. Energies are from PBE-GGA.

The space group is P4/mmm (No. 123) and the conventional cell measures 3.759, 3.759 and 18.712 Å, with angles of 90.00, 90.00 and 90.00 degrees. The asymmetric unit holds La at (0.000, 0.000, 0.100), La at (0.000, 0.000, 0.301), Pr at (0.000, 0.000, 0.500), Zn at (0.500, 0.500, 0.000), Zn at (0.500, 0.500, 0.201) and Zn at (0.500, 0.500, 0.403).

The volume comes out at 264 Å³/cell. The density is 6.43 g/cm3. The value obtained for the total energy is -3.393 eV per atom.

Record 16
Here is a geometry-optimized La3PrZn3 structure from Alexandria. Energies are from PBE-GGA.

The space group is Cmmm (No. 65) and the conventional cell measures 10.484, 10.615 and 7.348 Å, with angles of 90.00, 90.00 and 90.00 degrees. The asymmetric unit holds La at (0.000, 0.249, 0.000), La at (0.245, 0.500, 0.000), La at (0.247, 0.500, 0.500), Pr at (0.000, 0.244, 0.500), Zn at (0.000, 0.000, 0.249) and Zn at (0.250, 0.250, 0.253).

The volume comes out at 818 Å³/cell. The density is 6.12 g/cm3. The value obtained for the total energy is -3.536 eV per atom.

Record 17
Here is a geometry-optimized LaPr3Zn2 structure from Alexandria. Energies are from PBE-GGA.

The space group is P4/mmm (No. 123) and the conventional cell measures 3.728, 3.728 and 12.655 Å, with angles of 90.00, 90.00 and 90.00 degrees. The asymmetric unit holds La at (0.000, 0.000, 0.000), Pr at (0.500, 0.500, 0.211), Pr at (0.500, 0.500, 0.500) and Zn at (0.000, 0.000, 0.354).

Its energy above the most stable polymorph in this dataset is 0.00 kJ/mol of atoms. The volume comes out at 176 Å³/cell. The density is 6.54 g/cm3. The value obtained for the total energy is -3.841 eV per atom.

Record 18
Here is a geometry-optimized LaPrZn structure from Alexandria. Energies are from PBE-GGA.

The space group is Pnma (No. 62) and the conventional cell measures 10.348, 5.174 and 7.213 Å, with angles of 90.00, 90.00 and 90.00 degrees. The asymmetric unit holds La at (0.102, 0.250, 0.015), Pr at (0.132, 0.250, 0.513) and Zn at (0.130, 0.750, 0.267).

Its energy above the most stable polymorph in this dataset is 20.06 kJ/mol of atoms. The volume comes out at 386 Å³/cell. The density is 5.94 g/cm3. The value obtained for the total energy is -3.649 eV per atom.

Record 19
Here is a geometry-optimized LaPr2Zn structure from Alexandria. Energies are from PBE-GGA.

The space group is P4/mmm (No. 123) and the conventional cell measures 3.740, 3.740 and 8.881 Å, with angles of 90.00, 90.00 and 90.00 degrees. The asymmetric unit holds La at (0.000, 0.000, 0.000), Pr at (0.500, 0.500, 0.295) and Zn at (0.000, 0.000, 0.500).

Its energy above the most stable polymorph in this dataset is 0.00 kJ/mol of atoms. The volume comes out at 124 Å³/cell. The density is 6.50 g/cm3. The value obtained for the total energy is -4.088 eV per atom.

Record 20
Here is a geometry-optimized LaPr5Zn3 structure from Alexandria. Energies are from PBE-GGA.

The space group is P6_3/mcm (No. 193) and the conventional cell measures 9.1858, 9.1858 and 7.1148 Å, with angles of 90.00, 90.00 and 120.00 degrees. The asymmetric unit holds La at (0.0000, 0.0000, 0.0000), Pr at (0.0000, 0.3325, 0.2500), Pr at (0.3333, 0.6667, 0.0000) and Zn at (0.0000, 0.3357, 0.7500).

The volume comes out at 520 Å³/cell. The density is 6.64 g/cm3. The value obtained for the total energy is -3.753 eV per atom.

These records have energy relative to the elements values of 0.038 -0.300 -0.299 -0.307 -0.277 -0.049 -0.141 -0.024 -0.184 -0.045 0.044 0.042 -0.196 -0.120 -0.307 -0.195 -0.205 0.012 -0.148 -0.125 eV per atom, in the order they appear.
These records have N(E_F) values of 26.514 12.295 8.207 16.968 10.410 20.959 23.597 30.314 9.997 6.442 34.270 29.311 6.301 18.285 12.744 38.030 6.793 18.158 5.036 21.862 states/eV/cell, in the order they appear.